This record from the Alexandria database describes crystalline TbScTlRu at its relaxed geometry. The functional is PBE-GGA.

Values from the calculation:
Symmetry: F-43m (216)
Energy of formation from the pure elements, kJ/mol of atoms: -24
ρ, g/cm3: 9.794
Raw total energy, eV/atom: -5.90

Lattice parameters (Å, degrees): 4.961 4.961 4.961 60.00 60.00 60.00
Fractional positions:
Tb 0.250 0.250 0.250
Tl 0.000 0.000 0.000
Ru 0.500 0.500 0.500
Sc 0.750 0.750 0.750